Below is a geometry-optimized TaCoP2S structure, with properties calculated at the PBEsol level.

- Raw formation energy: 0.53 eV per atom
- Space group: P4/mmm (123)
- Energy above the most stable polymorph in this dataset: 0.0 meV/atom

The structure in CIF format:
```
data_TaCoP2S
_chemical_formula_sum 'Ta1 Co1 P2 S1'
_cell_length_a 4.190
_cell_length_b 4.190
_cell_length_c 4.380
_cell_angle_alpha 90.00
_cell_angle_beta 90.00
_cell_angle_gamma 90.00
_symmetry_space_group_name_H-M 'P 1'
_symmetry_Int_Tables_number 1
_symmetry_space_group_name_Hall 'P 1'
loop_
_atom_site_label
_atom_site_type_symbol
_atom_site_fract_x
_atom_site_fract_y
_atom_site_fract_z
_atom_site_occupancy
Ta1 Ta 0.000 0.000 0.000 1
Co1 Co 0.500 0.500 0.500 1
P1 P 0.000 0.500 0.500 1
P2 P 0.500 0.000 0.500 1
S1 S 0.500 0.500 0.000 1
```

Below is a geometry-optimized CuHgAs2 structure, with properties calculated at the PBEsol level.

- Calculated total energy: -3.674 eV/atom
- Space group: P2/m (10)

The structure in CIF format:
```
data_CuHgAs2
_chemical_formula_sum 'Cu1 Hg1 As2'
_cell_length_a 4.205
_cell_length_b 3.797
_cell_length_c 5.135
_cell_angle_alpha 90.00
_cell_angle_beta 105.83
_cell_angle_gamma 90.00
_symmetry_space_group_name_H-M 'P 1'
_symmetry_Int_Tables_number 1
_symmetry_space_group_name_Hall 'P 1'
loop_
_atom_site_label
_atom_site_type_symbol
_atom_site_fract_x
_atom_site_fract_y
_atom_site_fract_z
_atom_site_occupancy
Cu1 Cu 0.000 0.000 0.000 1
Hg1 Hg 0.500 0.000 0.500 1
As1 As 0.232 0.500 0.828 1
As2 As 0.768 0.500 0.172 1
```

Below is a geometry-optimized HgSb structure, with properties calculated at the PBEsol level.

- Raw formation energy: 0.04 eV per atom
- Space group: P2_1/m (11)
- Energy above the most stable polymorph in this dataset: 12.4 meV/atom

The structure in CIF format:
```
data_HgSb
_chemical_formula_sum 'Hg2 Sb2'
_cell_length_a 3.042
_cell_length_b 6.087
_cell_length_c 5.835
_cell_angle_alpha 90.00
_cell_angle_beta 90.12
_cell_angle_gamma 90.00
_symmetry_space_group_name_H-M 'P 1'
_symmetry_Int_Tables_number 1
_symmetry_space_group_name_Hall 'P 1'
loop_
_atom_site_label
_atom_site_type_symbol
_atom_site_fract_x
_atom_site_fract_y
_atom_site_fract_z
_atom_site_occupancy
Hg1 Hg 0.000 0.250 0.000 1
Hg2 Hg 0.000 0.750 0.000 1
Sb1 Sb 0.000 0.250 0.500 1
Sb2 Sb 0.000 0.750 0.500 1
```

Below is a geometry-optimized Ba3La2Br12 structure, with properties calculated at the PBEsol level.

- Raw formation energy: -2.08 eV per atom
- Space group: P4/mbm (127)

The structure in CIF format:
```
data_Ba3La2Br12
_chemical_formula_sum 'Ba6 La4 Br24'
_cell_length_a 11.977
_cell_length_b 11.977
_cell_length_c 7.463
_cell_angle_alpha 90.00
_cell_angle_beta 90.00
_cell_angle_gamma 90.00
_symmetry_space_group_name_H-M 'P 1'
_symmetry_Int_Tables_number 1
_symmetry_space_group_name_Hall 'P 1'
loop_
_atom_site_label
_atom_site_type_symbol
_atom_site_fract_x
_atom_site_fract_y
_atom_site_fract_z
_atom_site_occupancy
Ba1 Ba 0.000 0.000 0.000 1
Ba2 Ba 0.181 0.319 0.500 1
Ba3 Ba 0.319 0.819 0.500 1
Ba4 Ba 0.500 0.500 0.000 1
Ba5 Ba 0.681 0.181 0.500 1
Ba6 Ba 0.819 0.681 0.500 1
La1 La 0.135 0.635 0.000 1
La2 La 0.365 0.135 0.000 1
La3 La 0.635 0.865 0.000 1
La4 La 0.865 0.365 0.000 1
Br1 Br 0.000 0.500 0.266 1
Br2 Br 0.000 0.500 0.734 1
Br3 Br 0.064 0.795 0.274 1
Br4 Br 0.064 0.795 0.726 1
Br5 Br 0.182 0.318 0.000 1
Br6 Br 0.205 0.064 0.274 1
Br7 Br 0.205 0.064 0.726 1
Br8 Br 0.295 0.564 0.274 1
Br9 Br 0.295 0.564 0.726 1
Br10 Br 0.318 0.818 0.000 1
Br11 Br 0.436 0.295 0.274 1
Br12 Br 0.436 0.295 0.726 1
Br13 Br 0.500 0.000 0.266 1
Br14 Br 0.500 0.000 0.734 1
Br15 Br 0.564 0.705 0.274 1
Br16 Br 0.564 0.705 0.726 1
Br17 Br 0.682 0.182 0.000 1
Br18 Br 0.705 0.436 0.274 1
Br19 Br 0.705 0.436 0.726 1
Br20 Br 0.795 0.936 0.274 1
Br21 Br 0.795 0.936 0.726 1
Br22 Br 0.818 0.682 0.000 1
Br23 Br 0.936 0.205 0.274 1
Br24 Br 0.936 0.205 0.726 1
```

DOS(E_F) for the records above, in order: 0.836 0.291 0.366 0.000 states/eV per atom
Volume for the records above, in order: 76.89 78.89 54.03 535.29 Å³/f.u.
Calculated density for the records above, in order: 7211 8713 9908 5114 kg/m3